# CsTaOs3, optimized geometry, DFT PBE
data_CsTaOs3
_symmetry_space_group_name_H-M 'P m -3 m'
_symmetry_Int_Tables_number 221
_symmetry_space_group_name_Hall '-P 4 2 3'
_cell_length_a 4.817
_cell_length_b 4.817
_cell_length_c 4.817
_cell_angle_alpha 90.00
_cell_angle_beta 90.00
_cell_angle_gamma 90.00
loop_
_atom_site_label
_atom_site_type_symbol
_atom_site_fract_x
_atom_site_fract_y
_atom_site_fract_z
_atom_site_occupancy
Cs1 Cs 0.000 0.000 0.000 1
Ta1 Ta 0.500 0.500 0.500 1
Os1 Os 0.000 0.000 0.500 1
# Final energy (eV per atom): -5.3459
# M_tot (μB per formula unit): 0.0
# Energy of formation from the pure elements (eV/atom): 3.93